# 1
The following is a DFT calculation (GGA-PBE) of Dy2LuAu after structural relaxation.

```
Dy2LuAu
1.0
-3.292 -1.488 0.240
-0.948 -1.827 2.979
-4.923 7.311 5.118
Lu Au Dy
1 1 2
direct
0.500 0.500 0.500
0.000 0.000 0.000
0.261 0.261 0.216
0.739 0.739 0.784
```

space group: No. 166
energy above the most stable polymorph in this dataset: 116 meV/atom
calculated volume: 113.3 Å³ per cell
DOS(E_F): 4.81 states/eV/cell
energy of formation: -0.265 eV/atom
total moment: 0.00 μB/cell

=====

# 2
The following is a DFT calculation (GGA-PBE) of Tb4Nd3Tl after structural relaxation.

```
Tb4Nd3Tl
1.0
4.187 0.000 0.000
0.000 4.187 0.000
0.000 0.000 14.507
Nd Tl Tb
3 1 4
direct
0.500 0.500 0.248
0.500 0.500 0.500
0.500 0.500 0.752
0.500 0.500 0.000
0.000 0.000 0.889
0.000 0.000 0.111
0.000 0.000 0.368
0.000 0.000 0.632
```

space group: No. 123
energy above the most stable polymorph in this dataset: 82 meV/atom
calculated volume: 254.3 Å³ per cell
DOS(E_F): 12.26 states/eV/cell
energy of formation: 0.008 eV/atom
total moment: 0.00 μB/cell

=====

# 3
The following is a DFT calculation (GGA-PBE) of B2C after structural relaxation.

```
B2C
1.0
1.241 7.032 -0.371
-1.241 7.032 -0.371
0.000 1.128 4.689
B C
8 4
direct
0.977 0.977 0.981
0.077 0.077 0.177
0.672 0.672 0.124
0.767 0.767 0.365
0.000 0.000 0.521
0.087 0.087 0.763
0.403 0.403 0.551
0.681 0.681 0.684
0.338 0.338 0.317
0.767 0.767 0.882
0.329 0.329 0.843
0.403 0.403 0.042
```

space group: No. 8
energy above the most stable polymorph in this dataset: 241 meV/atom
calculated volume: 82.9 Å³ per cell
DOS(E_F): 1.39 states/eV/cell
energy of formation: 0.426 eV/atom
total moment: 0.00 μB/cell